# 1
DFT (PBE) results for a geometry-optimized ReBHPd2 structure.

The structure in extended XYZ format:
```
5
Lattice="4.068 0.000 0.000 0.000 4.162 0.000 0.000 0.000 4.068" Properties=species:S:1:pos:R:3 pbc="T T T"
Re 0.000 2.081 0.000
B 0.000 0.000 0.000
Pd 0.000 0.000 2.034
Pd 2.034 0.000 0.000
H 2.034 2.081 2.034
```

# 2
DFT (PBE) results for a geometry-optimized CaMnCo2 structure.

The structure in extended XYZ format:
```
4
Lattice="-1.247 2.266 1.475 -2.516 -1.585 0.308 -0.244 -4.078 6.059" Properties=species:S:1:pos:R:3 pbc="T T T"
Ca -2.694 -3.115 5.512
Mn -1.314 -0.283 2.329
Co -2.373 -1.742 0.670
Co -1.523 -2.675 2.821
```

Calculated values
As for the formation energy: 0.290 eV/atom. The value obtained for the offset from the most stable computed form is 94 meV/atom.

# 3
DFT (PBE) results for a geometry-optimized TbHo6Zr structure.

The structure in extended XYZ format:
```
8
Lattice="6.145 -0.257 2.525 0.364 6.313 -0.690 1.176 -0.963 6.868" Properties=species:S:1:pos:R:3 pbc="T T T"
Tb 0.182 3.156 -0.345
Ho 1.367 4.185 3.259
Ho 4.347 4.228 4.587
Ho 3.338 0.864 4.116
Ho 6.318 0.908 5.444
Ho 3.596 4.637 0.948
Ho 4.089 0.455 7.755
Zr 0.000 0.000 0.000
```

Calculated values
As for the formation energy: 0.242 eV/atom. The value obtained for the offset from the most stable computed form is 190 meV/atom.

# 4
DFT (PBE) results for a geometry-optimized LiHoPu2Te5 structure.

The structure in extended XYZ format:
```
18
Lattice="4.362 0.000 0.000 -2.181 9.248 0.000 0.000 0.000 13.074" Properties=species:S:1:pos:R:3 pbc="T T T"
Li 2.181 1.096 12.534
Li 0.000 8.152 5.997
Ho 2.181 5.549 6.677
Ho 0.000 3.699 0.140
Pu 2.181 6.956 10.533
Pu 0.000 1.991 8.917
Pu 0.000 2.292 3.996
Pu 2.181 7.257 2.380
Te 0.000 6.745 0.010
Te 2.181 3.513 11.065
Te 0.000 9.209 10.142
Te 0.000 5.291 8.800
Te 2.181 8.389 7.462
Te 2.181 2.504 6.547
Te 0.000 5.735 4.528
Te 2.181 0.039 3.606
Te 2.181 3.958 2.263
Te 0.000 0.859 0.925
```

Calculated values
The energy relative to the elements, uncorrected comes out at -1.05 eV/atom.

# 5
DFT (PBE) results for a geometry-optimized YTmInGa structure.

The structure in extended XYZ format:
```
4
Lattice="-0.722 -5.039 0.904 4.073 -3.133 0.573 1.107 -1.977 4.647" Properties=species:S:1:pos:R:3 pbc="T T T"
Y 0.000 0.000 0.000
Tm 2.229 -5.074 3.062
Ga 1.115 -2.537 1.531
In 3.344 -7.611 4.593
```

Calculated values
As for the formation energy: -0.498 eV/atom. The value obtained for the offset from the most stable computed form is 20 meV/atom.

# 6
DFT (PBE) results for a geometry-optimized Co2CuRu2 structure.

The structure in extended XYZ format:
```
10
Lattice="-5.830 -3.389 1.916 2.829 -1.317 6.278 -1.002 2.245 0.922" Properties=species:S:1:pos:R:3 pbc="T T T"
Ru 0.384 -0.365 5.044
Ru -2.113 -2.254 6.929
Ru -4.388 -2.096 4.072
Ru -1.890 -0.207 2.188
Co 0.269 -2.453 6.265
Co -3.390 -3.802 5.572
Co -3.271 -2.252 1.929
Co 0.388 -0.904 2.622
Cu 0.000 0.000 0.000
Cu -1.501 -2.353 4.097
```

Calculated values
As for the formation energy: 0.355 eV/atom. The value obtained for the offset from the most stable computed form is 0 meV/atom.

# 7
DFT (PBE) results for a geometry-optimized PrAl2AgAu structure.

The structure in extended XYZ format:
```
5
Lattice="-2.322 0.834 3.733 2.274 -3.211 2.132 3.640 4.718 -1.472" Properties=species:S:1:pos:R:3 pbc="T T T"
Pr 0.000 0.000 0.000
Al 0.855 -0.330 3.287
Al 2.737 2.672 1.105
Ag 2.945 0.160 1.796
Au 0.647 2.182 2.597
```

Calculated values
As for the formation energy: -0.518 eV/atom.

# 8
DFT (PBE) results for a geometry-optimized CuP2S2 structure.

The structure in extended XYZ format:
```
5
Lattice="-2.051 -3.661 -1.584 3.873 -1.401 -1.777 0.944 -2.156 3.758" Properties=species:S:1:pos:R:3 pbc="T T T"
P 1.383 -3.609 0.198
P 0.472 -1.078 1.879
S 1.936 -0.701 -0.888
S -1.026 -1.830 -0.792
Cu 0.000 0.000 0.000
```

Calculated values
The energy relative to the elements, uncorrected comes out at 0.98 eV/atom. The value obtained for the offset from the most stable computed form is 139 meV/atom.

Energy, respectively: -5.651 -6.056 -4.838 -6.706 -4.673 -7.017 -4.197 -3.652 eV/atom.